(1)
PaFeSi2Os: relaxed, GGA-PBE.

Output
formation energy from raw total energies: -0.68 eV per atom
symmetry: I-4m2

a = 5.571 Å, b = 5.571 Å, c = 5.571 Å
α = 136.97°, β = 136.97°, γ = 62.49°
Fractional positions:
Pa 0.000 0.000 0.000
Fe 0.750 0.250 0.500
Si 0.372 0.372 0.000
Si 0.628 0.628 0.000
Os 0.250 0.750 0.500

=====

(2)
CaLa3Sm7: relaxed, GGA-PBE.

Output
ΔH_f (0 K): 0.2442 eV/atom
ΔE to the lowest computed polymorph: 31 meV per atom
symmetry: C2/m

a = 8.631 Å, b = 8.631 Å, c = 6.077 Å
α = 110.55°, β = 110.55°, γ = 82.83°
Fractional positions:
Ca 0.000 0.000 0.000
La 0.283 0.717 0.500
La 0.500 0.500 0.000
La 0.717 0.283 0.500
Sm 0.000 0.000 0.500
Sm 0.097 0.493 0.795
Sm 0.297 0.297 0.297
Sm 0.493 0.097 0.795
Sm 0.507 0.903 0.205
Sm 0.703 0.703 0.703
Sm 0.903 0.507 0.205

=====

(3)
NaCdIr3: relaxed, GGA-PBE.

Output
ΔH_f (0 K): 2.0215 eV/atom
ΔE to the lowest computed polymorph: 0 meV per atom
symmetry: Pm-3m

a = 4.976 Å, b = 4.976 Å, c = 4.976 Å
α = 90.00°, β = 90.00°, γ = 90.00°
Fractional positions:
Na 0.000 0.000 0.000
Cd 0.500 0.500 0.500
Ir 0.000 0.500 0.500
Ir 0.500 0.000 0.500
Ir 0.500 0.500 0.000

=====

(4)
Ce2TmPuP4: relaxed, GGA-PBE.

Output
ΔH_f (0 K): -1.4384 eV/atom
symmetry: P2/m

a = 6.966 Å, b = 4.038 Å, c = 6.980 Å
α = 90.00°, β = 109.59°, γ = 90.00°
Fractional positions:
Ce 0.000 0.000 0.000
Ce 0.000 0.500 0.500
Tm 0.500 0.000 0.500
Pu 0.500 0.500 0.000
P 0.256 0.500 0.253
P 0.257 0.000 0.752
P 0.743 0.000 0.248
P 0.744 0.500 0.747

=====

(5)
Hf2Be9Tc: relaxed, GGA-PBE.

Output
ΔH_f (0 K): -0.1551 eV/atom
symmetry: R-3m

a = 7.636 Å, b = 7.636 Å, c = 7.636 Å
α = 34.59°, β = 34.59°, γ = 34.59°
Fractional positions:
Hf 0.139 0.139 0.139
Hf 0.861 0.861 0.861
Be 0.076 0.578 0.578
Be 0.334 0.334 0.334
Be 0.422 0.422 0.924
Be 0.422 0.924 0.422
Be 0.500 0.500 0.500
Be 0.578 0.076 0.578
Be 0.578 0.578 0.076
Be 0.666 0.666 0.666
Be 0.924 0.422 0.422
Tc 0.000 0.000 0.000

=====

(6)
CsDyCu2I6: relaxed, GGA-PBE.

Output
formation energy from raw total energies: -0.88 eV per atom
symmetry: C2/c

a = 10.920 Å, b = 10.920 Å, c = 7.750 Å
α = 93.10°, β = 93.10°, γ = 87.76°
Fractional positions:
Cs 0.079 0.921 0.750
Cs 0.921 0.079 0.250
Dy 0.276 0.724 0.250
Dy 0.724 0.276 0.750
Cu 0.346 0.482 0.732
Cu 0.482 0.346 0.232
Cu 0.518 0.654 0.768
Cu 0.654 0.518 0.268
I 0.015 0.734 0.339
I 0.183 0.598 0.909
I 0.266 0.985 0.161
I 0.310 0.460 0.400
I 0.402 0.817 0.591
I 0.460 0.310 0.900
I 0.540 0.690 0.100
I 0.598 0.183 0.409
I 0.690 0.540 0.600
I 0.734 0.015 0.839
I 0.817 0.402 0.091
I 0.985 0.266 0.661

=====

(7)
Ac2Al3In4Ag: relaxed, GGA-PBE.

Output
ΔH_f (0 K): -0.2937 eV/atom
symmetry: P-4m2

a = 4.735 Å, b = 4.735 Å, c = 11.426 Å
α = 90.00°, β = 90.00°, γ = 90.00°
Fractional positions:
Ac 0.000 0.500 0.247
Ac 0.500 0.000 0.753
Al 0.000 0.000 0.000
Al 0.000 0.500 0.635
Al 0.500 0.000 0.365
In 0.000 0.000 0.500
In 0.000 0.500 0.868
In 0.500 0.000 0.132
In 0.500 0.500 0.500
Ag 0.500 0.500 0.000

=====

(8)
Ba2SbPbSe: relaxed, GGA-PBE.

Output
formation energy from raw total energies: -0.61 eV per atom
symmetry: P4/mmm

a = 6.157 Å, b = 6.157 Å, c = 5.615 Å
α = 90.00°, β = 90.00°, γ = 90.00°
Fractional positions:
Ba 0.000 0.500 0.000
Ba 0.500 0.000 0.000
Sb 0.000 0.000 0.500
Pb 0.500 0.500 0.500
Se 0.000 0.000 0.000

=====

(9)
LiDy2ThAu4: relaxed, GGA-PBE.

Output
ΔH_f (0 K): -0.6997 eV/atom
symmetry: R-3m

a = 8.924 Å, b = 8.924 Å, c = 8.924 Å
α = 32.53°, β = 32.53°, γ = 32.53°
Fractional positions:
Li 0.000 0.000 0.000
Dy 0.262 0.262 0.262
Dy 0.738 0.738 0.738
Th 0.500 0.500 0.500
Au 0.113 0.113 0.113
Au 0.380 0.380 0.380
Au 0.620 0.620 0.620
Au 0.887 0.887 0.887

=====

(10)
Sc4Sn2Hg: relaxed, GGA-PBE.

Output
ΔH_f (0 K): -0.0501 eV/atom
symmetry: I4/mmm

a = 8.448 Å, b = 8.448 Å, c = 8.448 Å
α = 144.99°, β = 144.99°, γ = 50.34°
Fractional positions:
Sc 0.000 0.500 0.500
Sc 0.181 0.181 0.000
Sc 0.500 0.000 0.500
Sc 0.819 0.819 0.000
Sn 0.370 0.370 0.000
Sn 0.630 0.630 0.000
Hg 0.000 0.000 0.000

=====

(11)
Ac5GaTe4: relaxed, GGA-PBE.

Output
formation energy from raw total energies: -1.33 eV per atom
symmetry: I4/m

a = 8.208 Å, b = 8.208 Å, c = 8.208 Å
α = 99.52°, β = 99.52°, γ = 131.99°
Fractional positions:
Ac 0.000 0.000 0.000
Ac 0.216 0.403 0.619
Ac 0.403 0.784 0.188
Ac 0.597 0.216 0.812
Ac 0.784 0.597 0.381
Ga 0.500 0.500 0.000
Te 0.094 0.696 0.790
Te 0.304 0.094 0.398
Te 0.696 0.906 0.602
Te 0.906 0.304 0.210

=====

(12)
Ru3Pt5: relaxed, GGA-PBE.

Output
ΔH_f (0 K): 0.0525 eV/atom
ΔE to the lowest computed polymorph: 23 meV per atom
symmetry: Cmmm

a = 5.560 Å, b = 5.560 Å, c = 3.879 Å
α = 90.00°, β = 90.00°, γ = 90.24°
Fractional positions:
Ru 0.000 0.000 0.000
Ru 0.244 0.244 0.500
Ru 0.756 0.756 0.500
Pt 0.000 0.500 0.000
Pt 0.246 0.754 0.500
Pt 0.500 0.000 0.000
Pt 0.500 0.500 0.000
Pt 0.754 0.246 0.500

=====

(13)
Na2Hf3Br9: relaxed, GGA-PBE.

Output
formation energy from raw total energies: -1.28 eV per atom
symmetry: C2/m

a = 10.185 Å, b = 10.185 Å, c = 10.253 Å
α = 101.87°, β = 101.87°, γ = 118.79°
Fractional positions:
Na 0.043 0.720 0.640
Na 0.280 0.957 0.360
Na 0.720 0.043 0.640
Na 0.957 0.280 0.360
Hf 0.275 0.457 0.856
Hf 0.351 0.351 0.134
Hf 0.457 0.275 0.856
Hf 0.543 0.725 0.144
Hf 0.649 0.649 0.866
Hf 0.725 0.543 0.144
Br 0.014 0.604 0.336
Br 0.069 0.283 0.973
Br 0.179 0.179 0.662
Br 0.185 0.185 0.288
Br 0.283 0.069 0.973
Br 0.286 0.714 0.000
Br 0.393 0.606 0.318
Br 0.394 0.607 0.682
Br 0.396 0.986 0.664
Br 0.604 0.014 0.336
Br 0.606 0.393 0.318
Br 0.607 0.394 0.682
Br 0.714 0.286 0.000
Br 0.717 0.931 0.027
Br 0.815 0.815 0.712
Br 0.821 0.821 0.338
Br 0.931 0.717 0.027
Br 0.986 0.396 0.664

=====

(14)
TiVMo3: relaxed, GGA-PBE.

Output
ΔH_f (0 K): 1.1158 eV/atom
ΔE to the lowest computed polymorph: 1236 meV per atom
symmetry: I-4m2

a = 8.861 Å, b = 8.861 Å, c = 8.861 Å
α = 147.53°, β = 147.53°, γ = 46.59°
Fractional positions:
Ti 0.162 0.162 0.000
Ti 0.838 0.838 0.000
V 0.250 0.750 0.500
V 0.500 0.500 0.000
Mo 0.375 0.125 0.750
Mo 0.375 0.625 0.250
Mo 0.375 0.625 0.750
Mo 0.562 0.062 0.500
Mo 0.875 0.625 0.250
Mo 0.938 0.438 0.500

=====

(15)
Pm6Tl3Ru: relaxed, GGA-PBE.

Output
ΔH_f (0 K): -0.2626 eV/atom
ΔE to the lowest computed polymorph: 0 meV per atom
symmetry: P2_1/m

a = 9.496 Å, b = 5.436 Å, c = 11.556 Å
α = 90.00°, β = 106.29°, γ = 90.00°
Fractional positions:
Pm 0.041 0.250 0.412
Pm 0.191 0.750 0.166
Pm 0.289 0.250 0.001
Pm 0.352 0.750 0.832
Pm 0.378 0.250 0.348
Pm 0.402 0.250 0.645
Pm 0.598 0.750 0.355
Pm 0.622 0.750 0.652
Pm 0.648 0.250 0.168
Pm 0.711 0.750 0.999
Pm 0.809 0.250 0.834
Pm 0.959 0.750 0.588
Tl 0.010 0.750 0.881
Tl 0.097 0.250 0.717
Tl 0.274 0.750 0.476
Tl 0.726 0.250 0.524
Tl 0.903 0.750 0.283
Tl 0.990 0.250 0.119
Ru 0.461 0.750 0.096
Ru 0.539 0.250 0.904

=====

(16)
ZnP2Os: relaxed, GGA-PBE.

Output
ΔH_f (0 K): 0.2560 eV/atom
symmetry: Pmm2

a = 2.931 Å, b = 3.825 Å, c = 5.116 Å
α = 90.00°, β = 90.00°, γ = 90.00°
Fractional positions:
Zn 0.000 0.000 0.000
P 0.000 0.000 0.492
P 0.500 0.500 0.862
Os 0.500 0.500 0.371

=====

(17)
MgAg2P2: relaxed, GGA-PBE.

Output
ΔH_f (0 K): 0.0745 eV/atom
ΔE to the lowest computed polymorph: 134 meV per atom
symmetry: I4/mmm

a = 6.088 Å, b = 6.088 Å, c = 6.088 Å
α = 139.54°, β = 139.54°, γ = 58.55°
Fractional positions:
Mg 0.000 0.000 0.000
Ag 0.250 0.750 0.500
Ag 0.750 0.250 0.500
P 0.397 0.397 0.000
P 0.603 0.603 0.000

=====

(18)
TcBI2O: relaxed, GGA-PBE.

Output
formation energy from raw total energies: 0.62 eV per atom
ΔE to the lowest computed polymorph: 13 meV per atom
symmetry: P4/mmm

a = 5.254 Å, b = 5.254 Å, c = 3.022 Å
α = 90.00°, β = 90.00°, γ = 90.00°
Fractional positions:
Tc 0.000 0.000 0.000
B 0.500 0.500 0.500
I 0.000 0.500 0.500
I 0.500 0.000 0.500
O 0.500 0.500 0.000

=====

(19)
CaCoRh2: relaxed, GGA-PBE.

Output
ΔH_f (0 K): 0.1217 eV/atom
ΔE to the lowest computed polymorph: 103 meV per atom
symmetry: Pm

a = 2.856 Å, b = 4.348 Å, c = 5.452 Å
α = 90.00°, β = 105.06°, γ = 90.00°
Fractional positions:
Ca 0.000 0.000 0.000
Co 0.632 0.500 0.264
Rh 0.333 0.500 0.670
Rh 0.740 0.000 0.484

=====

(20)
PrHoThZr: relaxed, GGA-PBE.

Output
ΔH_f (0 K): 0.1712 eV/atom
symmetry: F-43m

a = 5.523 Å, b = 5.523 Å, c = 5.523 Å
α = 60.00°, β = 60.00°, γ = 60.00°
Fractional positions:
Pr 0.000 0.000 0.000
Ho 0.250 0.250 0.250
Th 0.500 0.500 0.500
Zr 0.750 0.750 0.750

=====

(21)
TbCe2Tm: relaxed, GGA-PBE.

Output
ΔH_f (0 K): 0.1031 eV/atom
ΔE to the lowest computed polymorph: 17 meV per atom
symmetry: P4/mmm

a = 4.901 Å, b = 4.901 Å, c = 5.016 Å
α = 90.00°, β = 90.00°, γ = 90.00°
Fractional positions:
Tb 0.000 0.000 0.000
Ce 0.000 0.500 0.500
Ce 0.500 0.000 0.500
Tm 0.500 0.500 0.000

=====

(22)
Zr5Tl2Ga2: relaxed, GGA-PBE.

Output
ΔH_f (0 K): -0.3019 eV/atom
symmetry: Cmce

a = 8.209 Å, b = 8.209 Å, c = 7.357 Å
α = 90.00°, β = 90.00°, γ = 53.45°
Fractional positions:
Zr 0.000 0.000 0.000
Zr 0.058 0.695 0.678
Zr 0.195 0.558 0.178
Zr 0.305 0.942 0.678
Zr 0.442 0.805 0.178
Zr 0.500 0.500 0.500
Zr 0.558 0.195 0.822
Zr 0.695 0.058 0.322
Zr 0.805 0.442 0.822
Zr 0.942 0.305 0.322
Tl 0.220 0.220 0.000
Tl 0.280 0.280 0.500
Tl 0.720 0.720 0.500
Tl 0.780 0.780 0.000
Ga 0.122 0.878 0.376
Ga 0.378 0.622 0.876
Ga 0.622 0.378 0.124
Ga 0.878 0.122 0.624

=====

(23)
AgMoBr2: relaxed, GGA-PBE.

Output
formation energy from raw total energies: 0.56 eV per atom
ΔE to the lowest computed polymorph: 412 meV per atom
symmetry: Pmmm

a = 3.941 Å, b = 4.010 Å, c = 6.405 Å
α = 90.00°, β = 90.00°, γ = 90.00°
Fractional positions:
Ag 0.000 0.000 0.000
Mo 0.500 0.000 0.500
Br 0.000 0.500 0.500
Br 0.500 0.500 0.000

=====

| no. | VASP energy (eV/atom) | total magnetization (μB/f.u.) |
| --- | --- | --- |
| 1 | -8.682 | 0.00 |
| 2 | -4.285 | 0.00 |
| 3 | -3.742 | 3.32 |
| 4 | -7.977 | 6.23 |
| 5 | -5.473 | 0.00 |
| 6 | -3.179 | 0.00 |
| 7 | -3.619 | 0.00 |
| 8 | -3.641 | 0.00 |
| 9 | -4.656 | 0.00 |
| 10 | -4.855 | 0.00 |
| 11 | -4.942 | 0.00 |
| 12 | -7.201 | 0.00 |
| 13 | -4.672 | 2.01 |
| 14 | -8.786 | 0.00 |
| 15 | -4.750 | 0.00 |
| 16 | -5.575 | 0.00 |
| 17 | -3.549 | 0.00 |
| 18 | -4.403 | 0.00 |
| 19 | -5.831 | 2.09 |
| 20 | -6.160 | 0.00 |
| 21 | -5.139 | 1.56 |
| 22 | -6.249 | 0.00 |
| 23 | -3.701 | 4.44 |